Density functional theory data (PBE) for a relaxed structure of Cd3SiPd.

The structure in extended XYZ format:
```
5
Lattice="5.0012 0.0000 0.0000 0.0000 5.0012 0.0000 0.0000 0.0000 5.0012" Properties=species:S:1:pos:R:3 pbc="T T T"
Cd 0.0000 0.0000 2.5006
Cd 0.0000 2.5006 0.0000
Cd 2.5006 0.0000 0.0000
Si 0.0000 0.0000 0.0000
Pd 2.5006 2.5006 2.5006
```

The value obtained for the uncorrected formation energy is 569 meV/atom. As for the energy above the most stable polymorph in this dataset: 78 meV/atom. The space group is Pm-3m.

---

Density functional theory data (PBE) for a relaxed structure of CdSiPd4.

The structure in extended XYZ format:
```
24
Lattice="7.2154 0.0000 0.0000 0.0000 3.0177 0.0000 0.0000 0.0000 17.3406" Properties=species:S:1:pos:R:3 pbc="T T T"
Cd 1.5068 0.7544 3.2344
Cd 2.1009 2.2633 11.9047
Cd 5.1144 0.7544 5.4359
Cd 5.7086 2.2633 14.1062
Si 1.7717 2.2633 7.8605
Si 1.8360 0.7544 16.5308
Si 5.3793 2.2633 0.8098
Si 5.4437 0.7544 9.4801
Pd 0.1824 2.2633 9.8432
Pd 0.1841 2.2633 5.0999
Pd 0.8206 2.2633 0.8809
Pd 1.1915 2.2633 14.7485
Pd 2.4162 0.7544 6.0782
Pd 2.7871 0.7544 9.5511
Pd 3.4236 0.7544 13.7702
Pd 3.4253 0.7544 1.1729
Pd 3.7901 2.2633 16.1677
Pd 3.7918 2.2633 3.5704
Pd 4.4283 2.2633 7.7894
Pd 4.7992 2.2633 11.2624
Pd 6.0239 0.7544 2.5921
Pd 6.3948 0.7544 16.4597
Pd 7.0312 0.7544 12.2407
Pd 7.0329 0.7544 7.4974
```

The value obtained for the uncorrected formation energy is -481 meV/atom. As for the energy above the most stable polymorph in this dataset: 0 meV/atom. The space group is Pnma.

---

Density functional theory data (PBE) for a relaxed structure of Sm2CdSi2Pd5.

The structure in extended XYZ format:
```
20
Lattice="10.2810 0.0000 0.0000 0.0000 10.2810 0.0000 0.0000 0.0000 3.5107" Properties=species:S:1:pos:R:3 pbc="T T T"
Sm 1.8320 3.3085 0.0000
Sm 3.3085 8.4490 0.0000
Sm 6.9724 1.8320 0.0000
Sm 8.4490 6.9724 0.0000
Cd 0.0000 0.0000 0.0000
Cd 5.1405 5.1405 0.0000
Si 1.2407 6.3812 0.0000
Si 3.8998 1.2407 0.0000
Si 6.3812 9.0403 0.0000
Si 9.0403 3.8998 0.0000
Pd 0.0000 5.1405 1.7553
Pd 0.6181 8.0367 1.7553
Pd 2.2442 0.6181 1.7553
Pd 2.8963 5.7586 1.7553
Pd 4.5224 2.8963 1.7553
Pd 5.1405 0.0000 1.7553
Pd 5.7586 7.3847 1.7553
Pd 7.3847 4.5224 1.7553
Pd 8.0367 9.6629 1.7553
Pd 9.6629 2.2442 1.7553
```

The value obtained for the uncorrected formation energy is -688 meV/atom. The space group is P4/mbm.

---

Density functional theory data (PBE) for a relaxed structure of SmCdSi2Pd5.

The structure in extended XYZ format:
```
9
Lattice="4.2384 0.0000 0.0000 0.0000 4.2384 0.0000 0.0000 0.0000 8.7139" Properties=species:S:1:pos:R:3 pbc="T T T"
Sm 0.0000 0.0000 0.0000
Cd 0.0000 0.0000 4.3570
Si 2.1192 2.1192 3.2128
Si 2.1192 2.1192 5.5011
Pd 0.0000 2.1192 2.1067
Pd 0.0000 2.1192 6.6072
Pd 2.1192 0.0000 2.1067
Pd 2.1192 0.0000 6.6072
Pd 2.1192 2.1192 0.0000
```

The value obtained for the uncorrected formation energy is -630 meV/atom. The space group is P4/mmm.

---

Density functional theory data (PBE) for a relaxed structure of Cd2Si2SnPd5.

The structure in extended XYZ format:
```
20
Lattice="9.9367 0.0000 0.0000 0.0000 9.9367 0.0000 0.0000 0.0000 3.4631" Properties=species:S:1:pos:R:3 pbc="T T T"
Cd 1.6898 3.2786 0.0000
Cd 3.2786 8.2470 0.0000
Cd 6.6581 1.6898 0.0000
Cd 8.2470 6.6581 0.0000
Si 1.2639 6.2323 0.0000
Si 3.7045 1.2639 0.0000
Si 6.2323 8.6729 0.0000
Si 8.6729 3.7045 0.0000
Sn 0.0000 0.0000 0.0000
Sn 4.9684 4.9684 0.0000
Pd 0.0000 4.9684 1.7315
Pd 0.8346 7.8826 1.7315
Pd 2.0542 0.8346 1.7315
Pd 2.9142 5.8029 1.7315
Pd 4.1338 2.9142 1.7315
Pd 4.9684 0.0000 1.7315
Pd 5.8029 7.0225 1.7315
Pd 7.0225 4.1338 1.7315
Pd 7.8826 9.1022 1.7315
Pd 9.1022 2.0542 1.7315
```

The value obtained for the uncorrected formation energy is -411 meV/atom. The space group is P4/mbm.

---

Density functional theory data (PBE) for a relaxed structure of Sr2CdSi3Pd4.

The structure in extended XYZ format:
```
10
Lattice="4.4485 0.0000 0.0000 0.0000 4.4485 0.0000 0.0000 0.0000 10.0547" Properties=species:S:1:pos:R:3 pbc="T T T"
Sr 0.0000 2.2242 2.4786
Sr 2.2242 0.0000 7.5761
Cd 0.0000 0.0000 5.0274
Si 0.0000 2.2242 8.9255
Si 2.2242 0.0000 1.1292
Si 2.2242 2.2242 5.0274
Pd 0.0000 0.0000 0.0000
Pd 0.0000 2.2242 6.5199
Pd 2.2242 0.0000 3.5348
Pd 2.2242 2.2242 0.0000
```

The value obtained for the uncorrected formation energy is -658 meV/atom. The space group is P-4m2.

---

Density functional theory data (PBE) for a relaxed structure of Sr2CdSiPd6.

The structure in extended XYZ format:
```
10
Lattice="5.8497 -2.8577 0.0000 5.8497 2.8577 0.0000 -5.2624 0.0000 6.5374" Properties=species:S:1:pos:R:3 pbc="T T T"
Sr 1.6902 0.0000 1.3454
Sr 4.7468 0.0000 5.1921
Cd 5.8497 0.0000 0.0000
Si -2.6312 0.0000 3.2687
Pd -0.2875 0.0000 3.9357
Pd 1.9904 1.3936 4.6472
Pd 4.4465 1.3936 1.8903
Pd 1.9904 -1.3936 4.6472
Pd 4.4465 -1.3936 1.8903
Pd 6.7244 0.0000 2.6018
```

The value obtained for the uncorrected formation energy is -562 meV/atom. The space group is C2/m.

---

Density functional theory data (PBE) for a relaxed structure of SrCdSiPd2.

The structure in extended XYZ format:
```
5
Lattice="5.1369 0.0000 0.0000 0.0000 5.1369 0.0000 0.0000 0.0000 4.7687" Properties=species:S:1:pos:R:3 pbc="T T T"
Sr 0.0000 0.0000 0.0000
Cd 2.5685 2.5685 2.3844
Si 2.5685 2.5685 0.0000
Pd 0.0000 2.5685 2.3844
Pd 2.5685 0.0000 2.3844
```

The value obtained for the uncorrected formation energy is 180 meV/atom. The space group is P4/mmm.

---

Density functional theory data (PBE) for a relaxed structure of Sr2CdSiPd.

The structure in extended XYZ format:
```
5
Lattice="5.8994 0.0000 0.0000 0.0000 5.8994 0.0000 0.0000 0.0000 4.6038" Properties=species:S:1:pos:R:3 pbc="T T T"
Sr 0.0000 2.9497 0.0000
Sr 2.9497 0.0000 0.0000
Cd 0.0000 0.0000 2.3019
Si 2.9497 2.9497 2.3019
Pd 2.9497 2.9497 0.0000
```

The value obtained for the uncorrected formation energy is -358 meV/atom. The space group is P4/mmm.

---

Density functional theory data (PBE) for a relaxed structure of TbCdSi2Pd5.

The structure in extended XYZ format:
```
9
Lattice="4.1933 0.0000 0.0000 0.0000 4.1933 0.0000 0.0000 0.0000 8.7707" Properties=species:S:1:pos:R:3 pbc="T T T"
Tb 0.0000 0.0000 0.0000
Cd 0.0000 0.0000 4.3854
Si 2.0966 2.0966 3.2407
Si 2.0966 2.0966 5.5300
Pd 0.0000 2.0966 2.0922
Pd 0.0000 2.0966 6.6786
Pd 2.0966 0.0000 2.0922
Pd 2.0966 0.0000 6.6786
Pd 2.0966 2.0966 0.0000
```

The value obtained for the uncorrected formation energy is -657 meV/atom. The space group is P4/mmm.

---

Density functional theory data (PBE) for a relaxed structure of CdSiTe2Pd.

The structure in extended XYZ format:
```
5
Lattice="5.4092 0.0000 0.0000 0.0000 5.4092 0.0000 0.0000 0.0000 4.5766" Properties=species:S:1:pos:R:3 pbc="T T T"
Cd 0.0000 0.0000 0.0000
Si 2.7046 2.7046 2.2883
Te 0.0000 2.7046 2.2883
Te 2.7046 0.0000 2.2883
Pd 2.7046 2.7046 0.0000
```

The value obtained for the uncorrected formation energy is 298 meV/atom. The space group is P4/mmm.

---

Density functional theory data (PBE) for a relaxed structure of Th2CdSi3Pd4.

The structure in extended XYZ format:
```
10
Lattice="4.2599 0.0000 0.0000 0.0000 4.2599 0.0000 0.0000 0.0000 10.4946" Properties=species:S:1:pos:R:3 pbc="T T T"
Th 0.0000 2.1300 2.4965
Th 2.1300 0.0000 7.9980
Cd 0.0000 0.0000 5.2473
Si 0.0000 2.1300 9.1857
Si 2.1300 0.0000 1.3089
Si 2.1300 2.1300 5.2473
Pd 0.0000 0.0000 0.0000
Pd 0.0000 2.1300 6.8103
Pd 2.1300 0.0000 3.6843
Pd 2.1300 2.1300 0.0000
```

The value obtained for the uncorrected formation energy is -773 meV/atom. The space group is P-4m2.

---

Density functional theory data (PBE) for a relaxed structure of Y2CdSi2Pd5.

The structure in extended XYZ format:
```
20
Lattice="10.0496 0.0000 0.0000 0.0000 10.0496 0.0000 0.0000 0.0000 3.5966" Properties=species:S:1:pos:R:3 pbc="T T T"
Y 1.7643 3.2605 0.0000
Y 3.2605 8.2853 0.0000
Y 6.7891 1.7643 0.0000
Y 8.2853 6.7891 0.0000
Cd 0.0000 0.0000 0.0000
Cd 5.0248 5.0248 0.0000
Si 1.2440 6.2688 0.0000
Si 3.7808 1.2440 0.0000
Si 6.2688 8.8056 0.0000
Si 8.8056 3.7808 0.0000
Pd 0.0000 5.0248 1.7983
Pd 0.6231 7.8531 1.7983
Pd 2.1964 0.6231 1.7983
Pd 2.8284 5.6479 1.7983
Pd 4.4017 2.8284 1.7983
Pd 5.0248 0.0000 1.7983
Pd 5.6479 7.2212 1.7983
Pd 7.2212 4.4017 1.7983
Pd 7.8531 9.4265 1.7983
Pd 9.4265 2.1964 1.7983
```

The value obtained for the uncorrected formation energy is -723 meV/atom. The space group is P4/mbm.

---

Density functional theory data (PBE) for a relaxed structure of ZnCd2Si2Pd5.

The structure in extended XYZ format:
```
20
Lattice="9.9499 0.0000 0.0000 0.0000 9.9499 0.0000 0.0000 0.0000 3.2668" Properties=species:S:1:pos:R:3 pbc="T T T"
Zn 0.0000 0.0000 0.0000
Zn 4.9750 4.9750 0.0000
Cd 1.7393 3.2357 0.0000
Cd 3.2357 8.2106 0.0000
Cd 6.7142 1.7393 0.0000
Cd 8.2106 6.7142 0.0000
Si 1.3057 6.2807 0.0000
Si 3.6692 1.3057 0.0000
Si 6.2807 8.6442 0.0000
Si 8.6442 3.6692 0.0000
Pd 0.0000 4.9750 1.6334
Pd 0.6135 7.9126 1.6334
Pd 2.0373 0.6135 1.6334
Pd 2.9376 5.5885 1.6334
Pd 4.3614 2.9376 1.6334
Pd 4.9750 0.0000 1.6334
Pd 5.5885 7.0123 1.6334
Pd 7.0123 4.3614 1.6334
Pd 7.9126 9.3364 1.6334
Pd 9.3364 2.0373 1.6334
```

The value obtained for the uncorrected formation energy is -427 meV/atom. The space group is P4/mbm.

---

Density functional theory data (PBE) for a relaxed structure of Sm2CdPd.

The structure in extended XYZ format:
```
4
Lattice="3.6745 0.0000 0.0000 0.0000 3.6745 0.0000 0.0000 0.0000 7.4900" Properties=species:S:1:pos:R:3 pbc="T T T"
Sm 0.0000 0.0000 1.7065
Sm 0.0000 0.0000 5.7835
Cd 1.8373 1.8373 3.7450
Pd 1.8373 1.8373 0.0000
```

Its formation energy from the elements is -552 meV per atom. As for the energy above the most stable polymorph in this dataset: 0 meV/atom. The space group is P4/mmm.

---

Density functional theory data (PBE) for a relaxed structure of Sm3Cd3Pd2.

The structure in extended XYZ format:
```
8
Lattice="7.6830 0.0000 0.0000 -3.8415 6.6537 0.0000 0.0000 0.0000 3.8326" Properties=species:S:1:pos:R:3 pbc="T T T"
Sm -1.5968 2.7658 0.0000
Sm 3.1936 0.0000 0.0000
Sm 2.2447 3.8879 0.0000
Cd -2.9580 5.1235 1.9163
Cd 0.8835 1.5303 1.9163
Cd 5.9161 0.0000 1.9163
Pd 0.0000 4.4358 1.9163
Pd 3.8415 2.2179 1.9163
```

Its formation energy from the elements is -604 meV per atom. The space group is P-62m.

---

Density functional theory data (PBE) for a relaxed structure of Sm5CdPd2.

The structure in extended XYZ format:
```
16
Lattice="-4.0396 4.0396 6.7228 4.0396 -4.0396 6.7228 4.0396 4.0396 -6.7228" Properties=species:S:1:pos:R:3 pbc="T T T"
Sm 0.0000 0.0000 0.0000
Sm 5.3304 1.2908 -1.8888
Sm 1.2908 2.7488 -1.8888
Sm 5.3304 1.2908 1.8888
Sm 1.2908 2.7488 1.8888
Sm 0.0000 0.0000 6.7228
Sm 2.7488 1.2908 4.8339
Sm -1.2908 2.7488 4.8339
Sm 2.7488 1.2908 8.6116
Sm -1.2908 2.7488 8.6116
Cd 0.0000 0.0000 3.3614
Cd 0.0000 0.0000 10.0842
Pd 2.9832 1.0564 0.0000
Pd 2.9832 -1.0564 6.7228
Pd 1.0564 5.0960 0.0000
Pd 1.0564 2.9832 6.7228
```

Its formation energy from the elements is -482 meV per atom. The space group is I4/mcm.

---

Density functional theory data (PBE) for a relaxed structure of Sm8Cd2Pd.

The structure in extended XYZ format:
```
11
Lattice="9.1383 -2.6507 0.0000 9.1383 2.6507 0.0000 -1.4986 0.0000 6.7849" Properties=species:S:1:pos:R:3 pbc="T T T"
Sm -0.0255 0.0000 1.8387
Sm 2.4834 0.0000 5.4400
Sm 5.5426 0.0000 3.6520
Sm 7.3980 0.0000 0.3592
Sm 9.3800 0.0000 6.4257
Sm 11.2354 0.0000 3.1329
Sm 14.2946 0.0000 1.3449
Sm 16.8035 0.0000 4.9462
Cd 3.1326 0.0000 1.6154
Cd 13.6453 0.0000 5.1695
Pd 8.3890 0.0000 3.3924
```

Its formation energy from the elements is -209 meV per atom. The space group is C2/m.

---

Density functional theory data (PBE) for a relaxed structure of Sm2Cd3Pd2.

The structure in extended XYZ format:
```
14
Lattice="10.0054 0.0000 0.0000 0.0000 4.5017 0.0000 -2.6056 0.0000 7.0482" Properties=species:S:1:pos:R:3 pbc="T T T"
Sm 0.6679 0.0000 1.9737
Sm 1.7293 2.2508 5.0745
Sm 5.6705 2.2508 1.9737
Sm 6.7319 0.0000 5.0745
Cd -1.3028 2.2508 3.5241
Cd -1.1657 2.2508 6.6305
Cd 3.5628 0.0000 0.4177
Cd 3.6999 0.0000 3.5241
Cd 3.8370 0.0000 6.6305
Cd 8.5655 2.2508 0.4177
Pd -0.2839 0.0000 4.8984
Pd 2.6810 2.2508 2.1498
Pd 4.7188 2.2508 4.8984
Pd 7.6836 0.0000 2.1498
```

Its formation energy from the elements is -590 meV per atom. As for the energy above the most stable polymorph in this dataset: 0 meV/atom. The space group is C2/m.

---

Density functional theory data (PBE) for a relaxed structure of Sm3CdPd.

The structure in extended XYZ format:
```
10
Lattice="5.0720 -7.6306 0.0000 5.0720 7.6306 0.0000 0.0000 0.0000 3.9411" Properties=species:S:1:pos:R:3 pbc="T T T"
Sm 5.0720 5.0218 0.0000
Sm 3.0812 1.7765 1.9705
Sm 3.0812 -1.7765 1.9705
Sm 7.0627 1.7765 1.9705
Sm 7.0627 -1.7765 1.9705
Sm 5.0720 -5.0218 0.0000
Cd 0.0000 0.0000 1.9705
Cd 5.0720 0.0000 0.0000
Pd 2.5360 3.8153 0.0000
Pd 2.5360 -3.8153 0.0000
```

Its formation energy from the elements is -290 meV per atom. The space group is Cmmm.